A plane-wave DFT calculation with PBE was carried out for crystalline FeMo2S4 at its relaxed geometry.

CIF file:
```
data_FeMo2S4
_chemical_formula_sum 'Fe4 Mo8 S16'
_symmetry_space_group_name_H-M 'P 1'
_symmetry_Int_Tables_number 1
_symmetry_space_group_name_Hall 'P 1'
_cell_length_a 6.7472
_cell_length_b 6.7472
_cell_length_c 12.5008
_cell_angle_alpha 111.73
_cell_angle_beta 111.73
_cell_angle_gamma 56.45
loop_
_atom_site_label
_atom_site_type_symbol
_atom_site_fract_x
_atom_site_fract_y
_atom_site_fract_z
Fe1 Fe 0.1100 0.8900 0.5000
Fe2 Fe 0.3602 0.6413 0.9998
Fe3 Fe 0.6413 0.3602 0.4998
Fe4 Fe 0.8900 0.1100 0.0000
Mo1 Mo 0.0386 0.2790 0.2608
Mo2 Mo 0.2186 0.4687 0.7400
Mo3 Mo 0.2790 0.0386 0.7608
Mo4 Mo 0.4687 0.2186 0.2400
Mo5 Mo 0.5283 0.7876 0.2601
Mo6 Mo 0.7160 0.9659 0.7387
Mo7 Mo 0.7876 0.5283 0.7601
Mo8 Mo 0.9659 0.7160 0.2387
S1 S 0.0913 0.3368 0.0985
S2 S 0.1125 0.8625 0.1349
S3 S 0.1360 0.8888 0.8645
S4 S 0.1613 0.4146 0.9025
S5 S 0.3368 0.0913 0.5985
S6 S 0.3627 0.6132 0.6323
S7 S 0.3874 0.6396 0.3682
S8 S 0.4146 0.1613 0.4025
S9 S 0.5872 0.8416 0.0985
S10 S 0.6132 0.3627 0.1323
S11 S 0.6396 0.3874 0.8682
S12 S 0.6607 0.9087 0.9001
S13 S 0.8416 0.5872 0.5985
S14 S 0.8625 0.1125 0.6349
S15 S 0.8888 0.1360 0.3645
S16 S 0.9087 0.6607 0.4001
```

Values from the calculation:
SG: Cc, No. 9

A plane-wave DFT calculation with PBE was carried out for crystalline ScFeSbMo at its relaxed geometry.

CIF file:
```
data_ScFeSbMo
_chemical_formula_sum 'Sc1 Fe1 Sb1 Mo1'
_symmetry_space_group_name_H-M 'P 1'
_symmetry_Int_Tables_number 1
_symmetry_space_group_name_Hall 'P 1'
_cell_length_a 4.5356
_cell_length_b 4.5356
_cell_length_c 4.5356
_cell_angle_alpha 60.00
_cell_angle_beta 60.00
_cell_angle_gamma 60.00
loop_
_atom_site_label
_atom_site_type_symbol
_atom_site_fract_x
_atom_site_fract_y
_atom_site_fract_z
Sc1 Sc 0.0000 0.0000 0.0000
Fe1 Fe 0.7500 0.7500 0.7500
Sb1 Sb 0.5000 0.5000 0.5000
Mo1 Mo 0.2500 0.2500 0.2500
```

Values from the calculation:
SG: F-43m, No. 216
Polymorph energy (0 for the lowest one) (eV/f.u.): 0.00

A plane-wave DFT calculation with PBE was carried out for crystalline TaFeSbMo at its relaxed geometry.

CIF file:
```
data_TaFeSbMo
_chemical_formula_sum 'Ta1 Fe1 Sb1 Mo1'
_symmetry_space_group_name_H-M 'P 1'
_symmetry_Int_Tables_number 1
_symmetry_space_group_name_Hall 'P 1'
_cell_length_a 4.4793
_cell_length_b 4.4793
_cell_length_c 4.4793
_cell_angle_alpha 60.00
_cell_angle_beta 60.00
_cell_angle_gamma 60.00
loop_
_atom_site_label
_atom_site_type_symbol
_atom_site_fract_x
_atom_site_fract_y
_atom_site_fract_z
Ta1 Ta 0.0000 0.0000 0.0000
Fe1 Fe 0.7500 0.7500 0.7500
Sb1 Sb 0.5000 0.5000 0.5000
Mo1 Mo 0.2500 0.2500 0.2500
```

Values from the calculation:
SG: F-43m, No. 216
Polymorph energy (0 for the lowest one) (eV/f.u.): 0.00

A plane-wave DFT calculation with PBE was carried out for crystalline FeTcSbMo at its relaxed geometry.

CIF file:
```
data_FeTcSbMo
_chemical_formula_sum 'Fe1 Tc1 Sb1 Mo1'
_symmetry_space_group_name_H-M 'P 1'
_symmetry_Int_Tables_number 1
_symmetry_space_group_name_Hall 'P 1'
_cell_length_a 4.4336
_cell_length_b 4.4336
_cell_length_c 4.4336
_cell_angle_alpha 60.00
_cell_angle_beta 60.00
_cell_angle_gamma 60.00
loop_
_atom_site_label
_atom_site_type_symbol
_atom_site_fract_x
_atom_site_fract_y
_atom_site_fract_z
Fe1 Fe 0.0000 0.0000 0.0000
Tc1 Tc 0.5000 0.5000 0.5000
Sb1 Sb 0.7500 0.7500 0.7500
Mo1 Mo 0.2500 0.2500 0.2500
```

Values from the calculation:
SG: F-43m, No. 216
Polymorph energy (0 for the lowest one) (eV/f.u.): 0.00

A plane-wave DFT calculation with PBE was carried out for crystalline YFeSbMo at its relaxed geometry.

CIF file:
```
data_YFeSbMo
_chemical_formula_sum 'Y1 Fe1 Sb1 Mo1'
_symmetry_space_group_name_H-M 'P 1'
_symmetry_Int_Tables_number 1
_symmetry_space_group_name_Hall 'P 1'
_cell_length_a 4.6701
_cell_length_b 4.6701
_cell_length_c 4.6701
_cell_angle_alpha 60.00
_cell_angle_beta 60.00
_cell_angle_gamma 60.00
loop_
_atom_site_label
_atom_site_type_symbol
_atom_site_fract_x
_atom_site_fract_y
_atom_site_fract_z
Y1 Y 0.0000 0.0000 0.0000
Fe1 Fe 0.7500 0.7500 0.7500
Sb1 Sb 0.5000 0.5000 0.5000
Mo1 Mo 0.2500 0.2500 0.2500
```

Values from the calculation:
SG: F-43m, No. 216
Polymorph energy (0 for the lowest one) (eV/f.u.): 0.00

A plane-wave DFT calculation with PBE was carried out for crystalline YFeSbMo at its relaxed geometry.

CIF file:
```
data_YFeSbMo
_chemical_formula_sum 'Y1 Fe1 Sb1 Mo1'
_symmetry_space_group_name_H-M 'P 1'
_symmetry_Int_Tables_number 1
_symmetry_space_group_name_Hall 'P 1'
_cell_length_a 4.7072
_cell_length_b 4.7072
_cell_length_c 4.7072
_cell_angle_alpha 60.00
_cell_angle_beta 60.00
_cell_angle_gamma 60.00
loop_
_atom_site_label
_atom_site_type_symbol
_atom_site_fract_x
_atom_site_fract_y
_atom_site_fract_z
Y1 Y 0.0000 0.0000 0.0000
Fe1 Fe 0.5000 0.5000 0.5000
Sb1 Sb 0.2500 0.2500 0.2500
Mo1 Mo 0.7500 0.7500 0.7500
```

Values from the calculation:
SG: F-43m, No. 216
Polymorph energy (0 for the lowest one) (eV/f.u.): 0.91

A plane-wave DFT calculation with PBE was carried out for crystalline ZnFeSbMo at its relaxed geometry.

CIF file:
```
data_ZnFeSbMo
_chemical_formula_sum 'Zn1 Fe1 Sb1 Mo1'
_symmetry_space_group_name_H-M 'P 1'
_symmetry_Int_Tables_number 1
_symmetry_space_group_name_Hall 'P 1'
_cell_length_a 4.4417
_cell_length_b 4.4417
_cell_length_c 4.4417
_cell_angle_alpha 60.00
_cell_angle_beta 60.00
_cell_angle_gamma 60.00
loop_
_atom_site_label
_atom_site_type_symbol
_atom_site_fract_x
_atom_site_fract_y
_atom_site_fract_z
Zn1 Zn 0.0000 0.0000 0.0000
Fe1 Fe 0.7500 0.7500 0.7500
Sb1 Sb 0.5000 0.5000 0.5000
Mo1 Mo 0.2500 0.2500 0.2500
```

Values from the calculation:
SG: F-43m, No. 216
Polymorph energy (0 for the lowest one) (eV/f.u.): 0.00

A plane-wave DFT calculation with PBE was carried out for crystalline ScFeSiMo at its relaxed geometry.

CIF file:
```
data_ScFeSiMo
_chemical_formula_sum 'Sc1 Fe1 Si1 Mo1'
_symmetry_space_group_name_H-M 'P 1'
_symmetry_Int_Tables_number 1
_symmetry_space_group_name_Hall 'P 1'
_cell_length_a 4.3195
_cell_length_b 4.3195
_cell_length_c 4.3195
_cell_angle_alpha 60.00
_cell_angle_beta 60.00
_cell_angle_gamma 60.00
loop_
_atom_site_label
_atom_site_type_symbol
_atom_site_fract_x
_atom_site_fract_y
_atom_site_fract_z
Sc1 Sc 0.0000 0.0000 0.0000
Fe1 Fe 0.7500 0.7500 0.7500
Si1 Si 0.5000 0.5000 0.5000
Mo1 Mo 0.2500 0.2500 0.2500
```

Values from the calculation:
SG: F-43m, No. 216
Polymorph energy (0 for the lowest one) (eV/f.u.): 0.00

A plane-wave DFT calculation with PBE was carried out for crystalline TaFeSiMo at its relaxed geometry.

CIF file:
```
data_TaFeSiMo
_chemical_formula_sum 'Ta1 Fe1 Si1 Mo1'
_symmetry_space_group_name_H-M 'P 1'
_symmetry_Int_Tables_number 1
_symmetry_space_group_name_Hall 'P 1'
_cell_length_a 4.3014
_cell_length_b 4.3014
_cell_length_c 4.3014
_cell_angle_alpha 60.00
_cell_angle_beta 60.00
_cell_angle_gamma 60.00
loop_
_atom_site_label
_atom_site_type_symbol
_atom_site_fract_x
_atom_site_fract_y
_atom_site_fract_z
Ta1 Ta 0.0000 0.0000 0.0000
Fe1 Fe 0.7500 0.7500 0.7500
Si1 Si 0.5000 0.5000 0.5000
Mo1 Mo 0.2500 0.2500 0.2500
```

Values from the calculation:
SG: F-43m, No. 216
Polymorph energy (0 for the lowest one) (eV/f.u.): 0.00

A plane-wave DFT calculation with PBE was carried out for crystalline FeSiMoW at its relaxed geometry.

CIF file:
```
data_FeSiMoW
_chemical_formula_sum 'Fe1 Si1 Mo1 W1'
_symmetry_space_group_name_H-M 'P 1'
_symmetry_Int_Tables_number 1
_symmetry_space_group_name_Hall 'P 1'
_cell_length_a 4.2527
_cell_length_b 4.2527
_cell_length_c 4.2527
_cell_angle_alpha 60.00
_cell_angle_beta 60.00
_cell_angle_gamma 60.00
loop_
_atom_site_label
_atom_site_type_symbol
_atom_site_fract_x
_atom_site_fract_y
_atom_site_fract_z
Fe1 Fe 0.0000 0.0000 0.0000
Si1 Si 0.7500 0.7500 0.7500
Mo1 Mo 0.5000 0.5000 0.5000
W1 W 0.2500 0.2500 0.2500
```

Values from the calculation:
SG: F-43m, No. 216
Polymorph energy (0 for the lowest one) (eV/f.u.): 0.00

A plane-wave DFT calculation with PBE was carried out for crystalline ZrFeSiMo at its relaxed geometry.

CIF file:
```
data_ZrFeSiMo
_chemical_formula_sum 'Zr1 Fe1 Si1 Mo1'
_symmetry_space_group_name_H-M 'P 1'
_symmetry_Int_Tables_number 1
_symmetry_space_group_name_Hall 'P 1'
_cell_length_a 4.3803
_cell_length_b 4.3803
_cell_length_c 4.3803
_cell_angle_alpha 60.00
_cell_angle_beta 60.00
_cell_angle_gamma 60.00
loop_
_atom_site_label
_atom_site_type_symbol
_atom_site_fract_x
_atom_site_fract_y
_atom_site_fract_z
Zr1 Zr 0.0000 0.0000 0.0000
Fe1 Fe 0.7500 0.7500 0.7500
Si1 Si 0.5000 0.5000 0.5000
Mo1 Mo 0.2500 0.2500 0.2500
```

Values from the calculation:
SG: F-43m, No. 216
Polymorph energy (0 for the lowest one) (eV/f.u.): 0.00

A plane-wave DFT calculation with PBE was carried out for crystalline SmFeMo at its relaxed geometry.

CIF file:
```
data_SmFeMo
_chemical_formula_sum 'Sm1 Fe1 Mo1'
_symmetry_space_group_name_H-M 'P 1'
_symmetry_Int_Tables_number 1
_symmetry_space_group_name_Hall 'P 1'
_cell_length_a 4.5448
_cell_length_b 4.5448
_cell_length_c 4.5448
_cell_angle_alpha 60.00
_cell_angle_beta 60.00
_cell_angle_gamma 60.00
loop_
_atom_site_label
_atom_site_type_symbol
_atom_site_fract_x
_atom_site_fract_y
_atom_site_fract_z
Sm1 Sm 0.0000 0.0000 0.0000
Fe1 Fe 0.7500 0.7500 0.7500
Mo1 Mo 0.2500 0.2500 0.2500
```

Values from the calculation:
SG: F-43m, No. 216
Formation energy (eV/atom): 1.65
Polymorph energy (0 for the lowest one) (eV/f.u.): 2.88

| no. | total magnetic moment (μB/f.u.) | total energy (eV for the cell shown) |
| --- | --- | --- |
| 1 | 1.6 | -203.07 |
| 2 | 1.8 | -29.35 |
| 3 | 0.0 | -34.81 |
| 4 | 2.2 | -32.71 |
| 5 | 2.0 | -28.83 |
| 6 | 3.8 | -27.92 |
| 7 | 2.1 | -23.19 |
| 8 | 1.3 | -31.10 |
| 9 | 0.9 | -37.13 |
| 10 | 0.0 | -37.70 |
| 11 | 1.9 | -33.56 |
| 12 | 4.6 | -18.92 |